No. 1
A geometry-optimized La3GaCl2 structure. Source: the Alexandria database, functional PBE-GGA.

Values from the calculation:
energy above the lowest structure with this stoichiometry = 0.253 eV per atom
energy = -4.6269 eV per atom
total moment = 0.05 μB per formula unit
formation energy (no corrections) = -1.04 eV per atom

Unit cell a=8.0462 b=8.0462 c=5.9330 alpha=90.00 beta=90.00 gamma=76.79
Closest atoms and distances in Å follow each position.
Element x y z (fractional)
La 0.1292 0.8708 0.7500  3 Ga 3.01-3.07, 2 Cl 3.03
La 0.1664 0.4628 0.2500  4 Cl 2.90-2.99, 1 Ga 2.92
La 0.4628 0.1664 0.7500  4 Cl 2.90-2.99, 1 Ga 2.92
La 0.5372 0.8336 0.2500  4 Cl 2.90-2.99, 1 Ga 2.92
La 0.8336 0.5372 0.7500  4 Cl 2.90-2.99, 1 Ga 2.92
La 0.8708 0.1292 0.2500  3 Ga 3.01-3.07, 2 Cl 3.03
Ga 0.1776 0.8224 0.2500  5 La 2.92-3.07
Ga 0.8224 0.1776 0.7500  5 La 2.92-3.07
Cl 0.2025 0.4847 0.7500  5 La 2.90-3.03
Cl 0.4847 0.2025 0.2500  5 La 2.90-3.03
Cl 0.5153 0.7975 0.7500  5 La 2.90-3.03
Cl 0.7975 0.5153 0.2500  5 La 2.90-3.03

---

No. 2
A geometry-optimized Fe2Co3Pt3 structure. Source: the Alexandria database, functional PBE-GGA.

Values from the calculation:
energy relative to the elements = -0.1485 eV per atom
energy = -7.1942 eV per atom
total moment = 12.45 μB per formula unit

Unit cell a=3.7100 b=3.7787 c=7.5269 alpha=90.00 beta=90.00 gamma=90.00
Closest atoms and distances in Å follow each position.
Element x y z (fractional)
Fe 0.0000 0.0000 0.2373  6 Co 2.58-2.73, 6 Pt 2.65-2.71
Fe 0.0000 0.0000 0.7627  6 Co 2.58-2.73, 6 Pt 2.65-2.71
Co 0.0000 0.5000 0.0000  4 Pt 2.59, 4 Fe 2.60, 4 Co 2.65
Co 0.0000 0.5000 0.5000  8 Pt 2.65-2.69, 4 Fe 2.73
Co 0.5000 0.0000 0.0000  4 Fe 2.58, 4 Pt 2.62, 4 Co 2.65
Pt 0.5000 0.0000 0.5000  4 Co 2.65, 4 Fe 2.71, 4 Pt 2.72
Pt 0.5000 0.5000 0.2407  6 Co 2.59-2.69, 4 Fe 2.65, 2 Pt 2.72
Pt 0.5000 0.5000 0.7593  6 Co 2.59-2.69, 4 Fe 2.65, 2 Pt 2.72

---

No. 3
A geometry-optimized La6NdSm2Er structure. Source: the Alexandria database, functional PBE-GGA.

Values from the calculation:
energy relative to the elements = 0.1835 eV per atom
energy = -4.6498 eV per atom
total moment = 0.00 μB per formula unit

Unit cell a=6.7411 b=6.7411 c=9.3103 alpha=104.92 beta=104.92 gamma=62.43
Closest atoms and distances in Å follow each position.
Element x y z (fractional)
La 0.0702 0.5340 0.1927  1 Sm 3.19, 2 La 3.24-3.43, 1 Nd 3.48
La 0.1290 0.1290 0.4225  5 La 3.68-3.91, 1 Er 3.76, 2 Nd 3.95
La 0.4660 0.9298 0.8073  1 Sm 3.19, 2 La 3.24-3.43, 1 Nd 3.48
La 0.5340 0.0702 0.1927  1 Sm 3.19, 2 La 3.24-3.43, 1 Nd 3.48
La 0.8710 0.8710 0.5775  5 La 3.68-3.91, 1 Er 3.76, 2 Nd 3.95
La 0.9298 0.4660 0.8073  1 Sm 3.19, 2 La 3.24-3.43, 1 Nd 3.48
Nd 0.5000 0.5000 0.5000  2 Sm 3.42, 4 La 3.48
Sm 0.4272 0.4272 0.8303  1 Sm 3.10, 2 La 3.19, 1 Nd 3.42
Sm 0.5728 0.5728 0.1697  1 Sm 3.10, 2 La 3.19, 1 Nd 3.42
Er 0.0000 0.0000 0.0000  10 La 3.76-3.79, 4 Sm 3.82

---

No. 4
A geometry-optimized MgInPb2 structure. Source: the Alexandria database, functional PBE-GGA.

Values from the calculation:
energy relative to the elements = -0.0103 eV per atom
energy = -2.9477 eV per atom
total moment = 0.00 μB per formula unit

Unit cell a=3.4486 b=4.4553 c=7.2760 alpha=90.00 beta=90.00 gamma=90.00
Closest atoms and distances in Å follow each position.
Element x y z (fractional)
Mg 0.0000 0.0000 0.0000  4 In 3.25, 5 Pb 3.29-3.43, 2 Mg 3.45
In 0.5000 0.5000 0.7785  4 Mg 3.25, 5 Pb 3.31-3.35, 2 In 3.45
Pb 0.0000 0.0000 0.5290  4 In 3.35, 1 Mg 3.43, 6 Pb 3.45-3.54
Pb 0.5000 0.5000 0.2334  4 Mg 3.29, 1 In 3.31, 6 Pb 3.45-3.54

---

No. 5
A geometry-optimized Na2ZnCdCl6 structure. Source: the Alexandria database, functional PBE-GGA.

Values from the calculation:
energy = -2.8813 eV per atom
total moment = 0.00 μB per formula unit
formation energy (no corrections) = -1.29 eV per atom

Unit cell a=6.7804 b=6.7804 c=6.2007 alpha=90.00 beta=90.00 gamma=90.00
Closest atoms and distances in Å follow each position.
Element x y z (fractional)
Na 0.0000 0.5000 0.0000  4 Cl 2.84
Na 0.5000 0.0000 0.0000  4 Cl 2.84
Zn 0.0000 0.0000 0.6143  5 Cl 2.23-2.48
Cd 0.5000 0.5000 0.6013  5 Cl 2.44-2.65
Cl 0.0000 0.0000 0.2552  1 Zn 2.23
Cl 0.2425 0.2425 0.7548  1 Zn 2.48, 1 Cd 2.65
Cl 0.2425 0.7575 0.7548  1 Zn 2.48, 1 Cd 2.65
Cl 0.5000 0.5000 0.2075  1 Cd 2.44
Cl 0.7575 0.2425 0.7548  1 Zn 2.48, 1 Cd 2.65
Cl 0.7575 0.7575 0.7548  1 Zn 2.48, 1 Cd 2.65

---

No. 6
A geometry-optimized KCaAg2 structure. Source: the Alexandria database, functional PBE-GGA.

Values from the calculation:
energy relative to the elements = 0.0038 eV per atom
energy above the lowest structure with this stoichiometry = 0.139 eV per atom
energy = -2.1966 eV per atom
total moment = 0.00 μB per formula unit

Unit cell a=6.6667 b=6.6667 c=6.6667 alpha=147.69 beta=132.46 gamma=58.65
Closest atoms and distances in Å follow each position.
Element x y z (fractional)
K 0.0000 0.0000 0.0000  6 Ag 3.30-3.66, 2 Ca 3.57
Ca 0.7016 0.2016 0.5000  6 Ag 3.36, 2 K 3.57, 2 Ca 3.71
Ag 0.2711 0.7711 0.5000  2 Ag 2.88
Ag 0.4604 0.4604 0.0000  2 Ag 2.88

---

No. 7
A geometry-optimized ReIr2Os structure. Source: the Alexandria database, functional PBE-GGA.

Values from the calculation:
energy relative to the elements = -0.0394 eV per atom
energy = -10.3893 eV per atom
total moment = 0.00 μB per formula unit

Unit cell a=2.7233 b=2.7233 c=7.8314 alpha=90.07 beta=90.07 gamma=90.00
Closest atoms and distances in Å follow each position.
Element x y z (fractional)
Re 0.0000 0.0000 0.0000  4 Re 2.72, 8 Ir 2.75-2.76
Ir 0.4997 0.4997 0.2511  4 Ir 2.72, 4 Os 2.74, 4 Re 2.75-2.76
Ir 0.5003 0.5003 0.7489  4 Ir 2.72, 4 Os 2.74, 4 Re 2.75-2.76
Os 0.0000 0.0000 0.5000  4 Os 2.72, 8 Ir 2.74

---

No. 8
A geometry-optimized La2YTh3Te6 structure. Source: the Alexandria database, functional PBE-GGA.

Values from the calculation:
energy = -6.0261 eV per atom
total moment = 0.00 μB per formula unit
formation energy (no corrections) = -1.24 eV per atom

Unit cell a=10.1885 b=10.1885 c=9.1065 alpha=106.70 beta=106.70 gamma=25.09
Closest atoms and distances in Å follow each position.
Element x y z (fractional)
La 0.1655 0.1655 0.3325  6 Te 3.19-3.21
La 0.8345 0.8345 0.6675  6 Te 3.19-3.21
Y 0.5000 0.5000 0.0000  6 Te 3.08-3.13
Th 0.1707 0.1707 0.8359  6 Te 3.16-3.20
Th 0.5000 0.5000 0.5000  6 Te 3.17-3.22
Th 0.8293 0.8293 0.1641  6 Te 3.16-3.20
Te 0.0034 0.0034 0.7596  2 Y 3.13, 3 Th 3.19-3.22, 1 La 3.21
Te 0.3334 0.3334 0.4151  3 Th 3.16-3.17, 3 La 3.19-3.20
Te 0.3385 0.3385 0.9219  1 Y 3.08, 3 Th 3.17-3.20, 2 La 3.19
Te 0.6615 0.6615 0.0781  1 Y 3.08, 3 Th 3.17-3.20, 2 La 3.19
Te 0.6666 0.6666 0.5849  3 Th 3.16-3.17, 3 La 3.19-3.20
Te 0.9966 0.9966 0.2404  2 Y 3.13, 3 Th 3.19-3.22, 1 La 3.21

---

No. 9
A geometry-optimized BaCoSe structure. Source: the Alexandria database, functional PBE-GGA.

Values from the calculation:
energy above the lowest structure with this stoichiometry = 0.485 eV per atom
energy = -4.3543 eV per atom
total moment = 1.00 μB per formula unit
formation energy (no corrections) = -0.18 eV per atom

Unit cell a=4.7181 b=4.7181 c=4.7181 alpha=60.00 beta=60.00 gamma=60.00
Closest atoms and distances in Å follow each position.
Element x y z (fractional)
Ba 0.0000 0.0000 0.0000  4 Co 2.89
Co 0.2500 0.2500 0.2500  4 Ba 2.89, 4 Se 2.89
Se 0.5000 0.5000 0.5000  4 Co 2.89

---

No. 10
A geometry-optimized V2CdRh2 structure. Source: the Alexandria database, functional PBE-GGA.

Values from the calculation:
energy relative to the elements = -0.0535 eV per atom
energy = -6.8246 eV per atom
total moment = 0.00 μB per formula unit

Unit cell a=5.8459 b=5.8459 c=5.8459 alpha=138.88 beta=138.88 gamma=59.55
Closest atoms and distances in Å follow each position.
Element x y z (fractional)
V 0.2500 0.7500 0.5000  4 Rh 2.42
V 0.7500 0.2500 0.5000  4 Rh 2.42
Cd 0.0000 0.0000 0.0000  8 Rh 3.17, 8 V 3.26
Rh 0.3758 0.3758 0.0000  4 V 2.42, 1 Rh 2.52
Rh 0.6242 0.6242 0.0000  4 V 2.42, 1 Rh 2.52

---

No. 11
A geometry-optimized HoTm2Ir9 structure. Source: the Alexandria database, functional PBE-GGA.

Values from the calculation:
energy relative to the elements = -0.5958 eV per atom
energy = -8.3683 eV per atom
total moment = 0.00 μB per formula unit

Unit cell a=9.2713 b=9.2713 c=9.2713 alpha=33.13 beta=33.13 gamma=33.13
Closest atoms and distances in Å follow each position.
Element x y z (fractional)
Ho 0.0000 0.0000 0.0000  6 Ir 3.05
Tm 0.1393 0.1393 0.1393  12 Ir 3.03-3.30, 3 Tm 3.37
Tm 0.8607 0.8607 0.8607  12 Ir 3.03-3.30, 3 Tm 3.37
Ir 0.0825 0.5827 0.5827  7 Ir 2.64-2.68
Ir 0.3330 0.3330 0.3330  6 Ir 2.65-2.66
Ir 0.4173 0.4173 0.9175  7 Ir 2.64-2.68
Ir 0.4173 0.9175 0.4173  7 Ir 2.64-2.68
Ir 0.5000 0.5000 0.5000  6 Ir 2.68
Ir 0.5827 0.0825 0.5827  7 Ir 2.64-2.68
Ir 0.5827 0.5827 0.0825  7 Ir 2.64-2.68
Ir 0.6670 0.6670 0.6670  6 Ir 2.65-2.66
Ir 0.9175 0.4173 0.4173  7 Ir 2.64-2.68

---

No. 12
A geometry-optimized SnGeBi structure. Source: the Alexandria database, functional PBE-GGA.

Values from the calculation:
energy relative to the elements = 0.1705 eV per atom
energy above the lowest structure with this stoichiometry = 0.033 eV per atom
energy = -3.9966 eV per atom
total moment = 0.00 μB per formula unit

Unit cell a=6.2408 b=4.1188 c=7.0377 alpha=90.00 beta=111.82 gamma=90.00
Closest atoms and distances in Å follow each position.
Element x y z (fractional)
Sn 0.2166 0.0000 0.2382  3 Ge 2.85-2.89
Sn 0.7834 0.0000 0.7618  3 Ge 2.85-2.89
Ge 0.5000 0.0000 0.0000  2 Sn 2.85, 4 Bi 2.96
Ge 0.5000 0.5000 0.5000  4 Sn 2.89, 2 Bi 3.03
Bi 0.1851 0.5000 0.7405  3 Ge 2.96-3.03, 2 Sn 3.29, 1 Bi 3.31
Bi 0.8149 0.5000 0.2595  3 Ge 2.96-3.03, 2 Sn 3.29, 1 Bi 3.31

---

Copy entry 2 word for word.
A geometry-optimized Fe2Co3Pt3 structure. Source: the Alexandria database, functional PBE-GGA.

Values from the calculation:
energy relative to the elements = -0.1485 eV per atom
energy = -7.1942 eV per atom
total moment = 12.45 μB per formula unit

Unit cell a=3.7100 b=3.7787 c=7.5269 alpha=90.00 beta=90.00 gamma=90.00
Closest atoms and distances in Å follow each position.
Element x y z (fractional)
Fe 0.0000 0.0000 0.2373  6 Co 2.58-2.73, 6 Pt 2.65-2.71
Fe 0.0000 0.0000 0.7627  6 Co 2.58-2.73, 6 Pt 2.65-2.71
Co 0.0000 0.5000 0.0000  4 Pt 2.59, 4 Fe 2.60, 4 Co 2.65
Co 0.0000 0.5000 0.5000  8 Pt 2.65-2.69, 4 Fe 2.73
Co 0.5000 0.0000 0.0000  4 Fe 2.58, 4 Pt 2.62, 4 Co 2.65
Pt 0.5000 0.0000 0.5000  4 Co 2.65, 4 Fe 2.71, 4 Pt 2.72
Pt 0.5000 0.5000 0.2407  6 Co 2.59-2.69, 4 Fe 2.65, 2 Pt 2.72
Pt 0.5000 0.5000 0.7593  6 Co 2.59-2.69, 4 Fe 2.65, 2 Pt 2.72

---

Question: Which of these has the highest energy?
Answer: KCaAg2

---

Please write out number 9 again, unchanged.
A geometry-optimized BaCoSe structure. Source: the Alexandria database, functional PBE-GGA.

Values from the calculation:
energy above the lowest structure with this stoichiometry = 0.485 eV per atom
energy = -4.3543 eV per atom
total moment = 1.00 μB per formula unit
formation energy (no corrections) = -0.18 eV per atom

Unit cell a=4.7181 b=4.7181 c=4.7181 alpha=60.00 beta=60.00 gamma=60.00
Closest atoms and distances in Å follow each position.
Element x y z (fractional)
Ba 0.0000 0.0000 0.0000  4 Co 2.89
Co 0.2500 0.2500 0.2500  4 Ba 2.89, 4 Se 2.89
Se 0.5000 0.5000 0.5000  4 Co 2.89

---

Question: The lowest energy belongs to which entry?
Answer: ReIr2Os